Here is KMnPd2 after structural relaxation from Alexandria via LeMat-Bulk. Energies are from PBE-GGA.

Geometry as CIF:
```
data_KMnPd2
_cell_length_a 6.755
_cell_length_b 6.755
_cell_length_c 6.755
_cell_angle_alpha 90.00
_cell_angle_beta 90.00
_cell_angle_gamma 90.00
_space_group_name_H-M_alt 'F m -3 m'
_space_group_IT_number 225
_space_group_name_Hall '-F 4 2 3'
loop_
_atom_site_label
_atom_site_type_symbol
_atom_site_fract_x
_atom_site_fract_y
_atom_site_fract_z
K1 K 0.000 0.000 0.000
Mn1 Mn 0.000 0.000 0.500
Pd1 Pd 0.250 0.250 0.250
```

Properties
- E (eV/atom) = -4.80
- crystal system = cubic
- magnetization (μB/cell) = 18.107
- V (Å³ per cell) = 308.3